Entry from Alexandria: TlCd5Hg6 after structural relaxation (PBE).

* total DFT energy (no corrections): -0.709 eV/atom
* DOS at the Fermi energy: 3.3 states/eV/f.u.
* E_form: 0.0203 eV per atom
* total moment: 0.0 μB/f.u.
* offset from the most stable computed form: 8 meV/atom
* crystal system: triclinic

Cell lengths 3.7053, 8.7023, 9.8768 Å; angles 76.54, 89.38, 78.86 degrees
Element x y z (fractional)
Tl 0.0000 0.0000 0.0000
Cd 0.0000 0.0000 0.5000
Cd 0.3391 0.3388 0.3353
Cd 0.3436 0.3299 0.8337
Cd 0.6564 0.6701 0.1663
Cd 0.6609 0.6612 0.6647
Hg 0.1549 0.6698 0.4130
Hg 0.1639 0.6568 0.9147
Hg 0.4988 0.0051 0.2599
Hg 0.5012 0.9949 0.7401
Hg 0.8361 0.3432 0.0853
Hg 0.8451 0.3302 0.5870